No. 1
DFT (PBE) results for crystalline GdHfMn4 at its relaxed geometry.

Summary:
- uncorrected energy (eV/atom) = -10.077
- space-group type = F-43m, No. 216

Unit cell a=5.025 b=5.025 c=5.025 alpha=60.00 beta=60.00 gamma=60.00
Each line ends with the local moment (μB).
Fractional positions:
Gd: 0.000 0.000 0.000  6.94
Hf: 0.250 0.250 0.250  -0.16
Mn: 0.624 0.624 0.127  0.65
Mn: 0.624 0.127 0.624  0.65
Mn: 0.624 0.624 0.624  0.65
Mn: 0.127 0.624 0.624  0.65



No. 2
DFT (PBE) results for crystalline GdHf2Mo at its relaxed geometry.

Summary:
- uncorrected energy (eV/atom) = -11.157
- space-group type = P4/mmm, No. 123

Unit cell a=3.396 b=3.396 c=7.909 alpha=90.00 beta=90.00 gamma=90.00
Each line ends with the local moment (μB).
Fractional positions:
Mo: 0.500 0.500 0.000  0.16
Gd: 0.500 0.500 0.500  7.21
Hf: 0.000 0.000 0.807  0.03
Hf: 0.000 0.000 0.193  0.03



No. 3
DFT (PBE) results for crystalline GdHfMo4 at its relaxed geometry.

Summary:
- uncorrected energy (eV/atom) = -11.195
- space-group type = F-43m, No. 216

Unit cell a=5.446 b=5.446 c=5.446 alpha=60.00 beta=60.00 gamma=60.00
Each line ends with the local moment (μB).
Fractional positions:
Mo: 0.625 0.625 0.125  -0.03
Mo: 0.625 0.125 0.625  -0.03
Mo: 0.625 0.625 0.625  -0.03
Mo: 0.125 0.625 0.625  -0.03
Gd: 0.250 0.250 0.250  7.06
Hf: 0.000 0.000 0.000  0.03



No. 4
DFT (PBE) results for crystalline GdHf2N at its relaxed geometry.

Summary:
- uncorrected energy (eV/atom) = -11.226
- space-group type = R-3m, No. 166
- uncorrected formation energy (eV/atom) = -0.65

Unit cell a=3.226 b=3.226 c=8.995 alpha=79.67 beta=79.67 gamma=60.00
Each line ends with the local moment (μB).
Fractional positions:
Gd: 0.000 0.000 0.000  7.18
Hf: 0.120 0.120 0.641  -0.05
Hf: 0.880 0.880 0.359  -0.05
N: 0.500 0.500 0.500  0.00



No. 5
DFT (PBE) results for crystalline GdHf3N at its relaxed geometry.

Summary:
- uncorrected energy (eV/atom) = -10.975
- space-group type = Pm-3m, No. 221
- uncorrected formation energy (eV/atom) = -0.52

Unit cell a=4.598 b=4.598 c=4.598 alpha=90.00 beta=90.00 gamma=90.00
Each line ends with the local moment (μB).
Fractional positions:
Gd: 0.500 0.500 0.500  7.17
Hf: 0.000 0.500 0.000  0.04
Hf: 0.000 0.000 0.500  0.04
Hf: 0.500 0.000 0.000  0.04
N: 0.000 0.000 0.000  0.00



No. 6
DFT (PBE) results for crystalline NaGd2Hf at its relaxed geometry.

Summary:
- uncorrected energy (eV/atom) = -9.669
- energy relative to the lowest polymorph listed for this composition (eV/atom) = 0.057
- space-group type = R-3m, No. 166

Unit cell a=3.383 b=3.383 c=12.370 alpha=82.14 beta=82.14 gamma=60.00
Each line ends with the local moment (μB).
Fractional positions:
Na: 0.000 0.000 0.000  0.00
Gd: 0.095 0.095 0.714  7.17
Gd: 0.905 0.905 0.286  7.17
Hf: 0.500 0.500 0.500  -0.14



No. 7
DFT (PBE) results for crystalline NaGd2Hf at its relaxed geometry.

Summary:
- uncorrected energy (eV/atom) = -9.726
- energy relative to the lowest polymorph listed for this composition (eV/atom) = 0.000
- space-group type = P4/mmm, No. 123

Unit cell a=3.382 b=3.382 c=10.546 alpha=90.00 beta=90.00 gamma=90.00
Each line ends with the local moment (μB).
Fractional positions:
Na: 0.500 0.500 0.500  0.00
Gd: 0.000 0.000 0.786  7.19
Gd: 0.000 0.000 0.214  7.19
Hf: 0.500 0.500 0.000  -0.06



No. 8
DFT (PBE) results for crystalline NaGdHf2O6 at its relaxed geometry.

Summary:
- uncorrected energy (eV/atom) = -9.563
- space-group type = Fm-3m, No. 225
- uncorrected formation energy (eV/atom) = -3.06

Unit cell a=5.786 b=5.786 c=5.786 alpha=60.00 beta=60.00 gamma=60.00
Each line ends with the local moment (μB).
Fractional positions:
Na: 0.000 0.000 0.000  0.00
Gd: 0.500 0.500 0.500  6.90
Hf: 0.250 0.250 0.250  0.00
Hf: 0.750 0.750 0.750  0.00
O: 0.500 0.000 0.000  0.01
O: 0.000 0.500 0.500  0.01
O: 0.500 0.000 0.500  0.01
O: 0.000 0.500 0.000  0.01
O: 0.000 0.000 0.500  0.01
O: 0.500 0.500 0.000  0.01



No. 9
DFT (PBE) results for crystalline GdHfNb at its relaxed geometry.

Summary:
- uncorrected energy (eV/atom) = -11.094
- space-group type = I4mm, No. 107

Unit cell a=3.108 b=3.108 c=7.681 alpha=101.67 beta=101.67 gamma=90.00
Each line ends with the local moment (μB).
Fractional positions:
Nb: 0.675 0.675 0.350  -0.10
Gd: 0.010 0.010 0.019  7.08
Hf: 0.316 0.316 0.631  -0.03



No. 10
DFT (PBE) results for crystalline GdHf2Nb at its relaxed geometry.

Summary:
- uncorrected energy (eV/atom) = -10.765
- energy relative to the lowest polymorph listed for this composition (eV/atom) = 0.131
- space-group type = R-3m, No. 166

Unit cell a=3.196 b=3.196 c=10.664 alpha=81.38 beta=81.38 gamma=60.00
Each line ends with the local moment (μB).
Fractional positions:
Nb: 0.000 0.000 0.000  0.07
Gd: 0.500 0.500 0.500  7.17
Hf: 0.258 0.258 0.225  -0.05
Hf: 0.742 0.742 0.775  -0.05



No. 11
DFT (PBE) results for crystalline GdHf2Nb at its relaxed geometry.

Summary:
- uncorrected energy (eV/atom) = -10.896
- energy relative to the lowest polymorph listed for this composition (eV/atom) = 0.000
- space-group type = P4/mmm, No. 123

Unit cell a=3.546 b=3.546 c=7.504 alpha=90.00 beta=90.00 gamma=90.00
Each line ends with the local moment (μB).
Fractional positions:
Nb: 0.500 0.500 0.000  0.05
Gd: 0.500 0.500 0.500  7.17
Hf: 0.000 0.000 0.799  0.07
Hf: 0.000 0.000 0.201  0.07



No. 12
DFT (PBE) results for crystalline NdGdHf at its relaxed geometry.

Summary:
- uncorrected energy (eV/atom) = -9.449
- energy relative to the lowest polymorph listed for this composition (eV/atom) = 0.000
- space-group type = I4mm, No. 107

Unit cell a=3.378 b=3.378 c=8.048 alpha=102.11 beta=102.11 gamma=90.00
Each line ends with the local moment (μB).
Fractional positions:
Hf: 0.664 0.664 0.328  -0.05
Gd: 0.015 0.015 0.030  7.13
Nd: 0.321 0.321 0.643  0.03



No. 13
DFT (PBE) results for crystalline NdGdHf at its relaxed geometry.

Summary:
- uncorrected energy (eV/atom) = -9.431
- energy relative to the lowest polymorph listed for this composition (eV/atom) = 0.018
- space-group type = P3m1, No. 156

Unit cell a=3.422 b=3.422 c=8.626 alpha=90.00 beta=90.00 gamma=120.00
Each line ends with the local moment (μB).
Fractional positions:
Nd: 0.000 0.000 0.024  0.05
Gd: 0.333 0.667 0.640  7.14
Hf: 0.667 0.333 0.336  -0.07



No. 14
DFT (PBE) results for crystalline Gd2HfNi at its relaxed geometry.

Summary:
- uncorrected energy (eV/atom) = -10.899
- energy relative to the lowest polymorph listed for this composition (eV/atom) = 0.124
- space-group type = R-3m, No. 166

Unit cell a=3.451 b=3.451 c=9.479 alpha=79.51 beta=79.51 gamma=60.00
Each line ends with the local moment (μB).
Fractional positions:
Ni: 0.500 0.500 0.500  -0.04
Gd: 0.236 0.236 0.291  7.05
Gd: 0.764 0.764 0.709  7.05
Hf: 0.000 0.000 0.000  -0.11



No. 15
DFT (PBE) results for crystalline GdHfNi4 at its relaxed geometry.

Summary:
- uncorrected energy (eV/atom) = -8.247
- space-group type = F-43m, No. 216

Unit cell a=4.998 b=4.998 c=4.998 alpha=60.00 beta=60.00 gamma=60.00
Each line ends with the local moment (μB).
Fractional positions:
Ni: 0.624 0.624 0.127  0.01
Ni: 0.624 0.127 0.624  0.01
Ni: 0.624 0.624 0.624  0.01
Ni: 0.127 0.624 0.624  0.01
Gd: 0.000 0.000 0.000  -6.99
Hf: 0.250 0.250 0.250  -0.03